No. 1
Material: Sr4Ti3Nb2O15
Method: DFT, GGA-PBE
State: optimized geometry

For the uncorrected energy, the calculation gives -8.18 eV/atom. As for the density: 4.9 g/cm³. The uncorrected formation energy comes out at -2.971 eV/atom. Its total magnetization is 0.000 μB per formula unit. As for the symmetry: R-3m, No. 166.

```
24
Lattice="11.9426 -0.0009 -0.0005 10.6235 5.4561 -0.0005 10.6235 2.5681 4.8139" Properties=species:S:1:pos:R:3 pbc="T T T"
O 8.5449 3.4863 0.4810
O 11.2830 2.7276 -0.0005
O 11.2830 1.2836 2.4067
O 17.9096 2.8864 3.3671
O 9.1938 0.8019 0.4810
O 17.9096 4.3295 0.9613
O 24.6447 4.5371 4.3318
O 8.5449 2.0657 2.8493
O 23.9957 7.2214 4.3318
O 24.6447 5.9577 1.9635
O 17.2504 5.6133 3.3671
O 15.2800 5.1370 1.4457
O 10.6235 4.0121 2.4067
O 15.9392 2.4101 1.4457
O 15.2800 3.6938 3.8515
Nb 23.2409 5.6183 3.3702
Nb 9.9487 2.4050 1.4427
Ti 16.5948 4.0117 2.4064
Ti 3.3285 0.8046 0.4827
Ti 29.8610 7.2187 4.3302
Sr 6.5929 1.5938 0.9560
Sr 26.5966 6.4296 3.8568
Sr 19.8666 4.8026 2.8809
Sr 13.3229 3.2207 1.9320
```

***

No. 2
Material: La6Dy2YTh
Method: DFT, GGA-PBE
State: optimized geometry

For the uncorrected energy, the calculation gives -5.14 eV/atom. As for the density: 7.0 g/cm³. Its total magnetization is 0.000 μB per formula unit. The formation energy is 126 meV/atom. As for the symmetry: C2/c, No. 15. For the density of states at the Fermi level, the calculation gives 29.77 states/eV per cell.

```
20
Lattice="-8.5885 1.0326 -4.9516 1.5347 -6.8140 -5.6028 -5.1767 -1.7329 7.0977" Properties=species:S:1:pos:R:3 pbc="T T T"
La -4.1356 -4.8234 -7.5149
La -1.4010 -5.6915 -1.6253
La -10.8296 -1.8227 -1.8314
La -7.0365 -6.4320 -5.1191
La -4.2134 -4.0969 -3.7495
La -6.5701 -2.7752 -6.3357
La -5.6604 -4.7390 2.8789
La -7.0588 -6.2102 -8.5048
La -8.0950 -2.6909 4.0582
La -8.0171 -3.4173 0.2928
La -5.1940 -1.0822 1.6624
La -5.1717 -1.3041 5.0481
Dy -11.1472 -5.1191 -3.0436
Dy -5.9642 -1.4347 -1.7788
Dy -1.0833 -2.3951 -0.4132
Dy -6.2663 -6.0796 -1.6780
Y -10.9907 -1.4334 2.1967
Y -1.2399 -6.0809 -5.6534
Th -8.0692 -3.6452 -3.3318
Th -4.1613 -3.8690 -0.1249
```

***

No. 3
Material: AlZn4Re
Method: DFT, GGA-PBE
State: optimized geometry

For the uncorrected energy, the calculation gives -3.32 eV/atom. As for the density: 9.3 g/cm³. Its total magnetization is 0.000 μB per formula unit. The formation energy is 231 meV/atom. As for the symmetry: F-43m, No. 216. For the density of states at the Fermi level, the calculation gives 3.79 states/eV per cell.

```
6
Lattice="0.0000 3.4922 3.4922 3.4922 0.0000 3.4922 3.4922 3.4922 0.0000" Properties=species:S:1:pos:R:3 pbc="T T T"
Al 1.7461 1.7461 1.7461
Zn 2.6125 2.6125 4.3720
Zn 4.3720 2.6125 2.6125
Zn 4.3720 4.3720 4.3720
Zn 2.6125 4.3720 2.6125
Re 0.0000 0.0000 0.0000
```

***

No. 4
Material: DyHo3Pu2Se6
Method: DFT, GGA-PBE
State: optimized geometry

For the uncorrected energy, the calculation gives -7.35 eV/atom. As for the density: 9.3 g/cm³. The uncorrected formation energy comes out at -1.691 eV/atom. Its total magnetization is 11.786 μB per formula unit. As for the symmetry: C2/m, No. 12. For the density of states at the Fermi level, the calculation gives 18.15 states/eV per cell.

```
12
Lattice="-1.9694 3.0408 -1.8524 1.8170 -3.2734 -7.3053 -6.8181 -5.2902 3.0337" Properties=species:S:1:pos:R:3 pbc="T T T"
Se -3.4419 0.0085 -0.7956
Se -8.2942 -3.0487 -0.6553
Se -2.5007 -1.6484 -4.5163
Se -4.4698 -3.8743 -1.6077
Se 1.3237 -2.4741 -5.4686
Se -3.5285 -5.5312 -5.3284
Ho -5.8699 -1.5309 -0.7412
Ho -1.1005 -3.9918 -5.3828
Ho -0.0762 -0.1163 -4.5788
Pu -1.9828 -2.3403 -1.7337
Pu -4.9877 -3.1824 -4.3903
Dy -0.9847 1.5204 -0.9262
```

***

No. 5
Material: ReOs
Method: DFT, GGA-PBE
State: optimized geometry

For the uncorrected energy, the calculation gives -11.92 eV/atom. As for the density: 21.4 g/cm³. Its total magnetization is 0.000 μB per formula unit. The formation energy is -80 meV/atom. As for the symmetry: C2/m, No. 12. For the density of states at the Fermi level, the calculation gives 2.69 states/eV per cell.

```
4
Lattice="4.8129 -0.0025 0.0007 -2.4050 4.6012 -0.0003 -0.0001 0.8323 2.6363" Properties=species:S:1:pos:R:3 pbc="T T T"
Re 0.0143 5.0068 1.3205
Re 1.5922 2.9327 1.9753
Os -2.4021 4.6011 0.0000
Os -0.8043 2.5086 0.6588
```

***

No. 6
Material: Hf4Bi3H2
Method: DFT, GGA-PBE
State: optimized geometry

For the uncorrected energy, the calculation gives -6.56 eV/atom. As for the density: 11.7 g/cm³. Its total magnetization is 0.000 μB per formula unit. As for the symmetry: C2/c, No. 15. For the density of states at the Fermi level, the calculation gives 8.53 states/eV per cell.

```
18
Lattice="6.0861 0.3698 0.2648 0.8309 7.9444 -0.8675 0.8309 1.7386 7.8002" Properties=species:S:1:pos:R:3 pbc="T T T"
Hf 3.8796 8.2668 1.8945
Hf 4.2627 3.0825 2.2858
Hf 3.8683 1.7860 5.3031
Hf 0.8252 5.4108 -0.1504
Hf 6.5282 7.0806 5.1483
Hf 1.2196 2.9722 2.0492
Hf 3.4852 6.9702 4.9117
Hf 6.9226 4.6420 7.3479
H 4.9786 7.8217 3.7465
H 2.7693 2.2311 3.4510
H 5.8123 4.1707 1.1325
H 1.9355 5.8821 6.0650
Bi 2.3524 5.6066 2.5931
Bi 3.8362 3.6834 7.6692
Bi 0.8686 1.4209 6.0493
Bi 3.9117 6.3694 -0.4717
Bi 6.8792 8.6319 1.1483
Bi 5.3955 4.4462 4.6044
```

***

> uncorrected energy of number 5 (ReOs)?

-11.92 eV/atom

***

> Among the records above, which one has the lowest uncorrected energy?

ReOs

***

> What is the formula in the third record?

AlZn4Re